#one
## CrPdNO (GGA+U)

Data for a geometry-optimized CrPdNO structure.

Calculated values
Mass density = 6.7 g/cm³
Total moment = 4.310 μB per cell

```
data_CrPdNO
_chemical_formula_sum 'Cr2 Pd2 N2 O2'
_cell_length_a 5.1834
_cell_length_b 2.9650
_cell_length_c 6.3282
_cell_angle_alpha 90.00
_cell_angle_beta 105.69
_cell_angle_gamma 90.00
_symmetry_space_group_name_H-M 'C 1 m 1'
_symmetry_Int_Tables_number 8
_symmetry_space_group_name_Hall 'C -2y'
loop_
_atom_site_label
_atom_site_type_symbol
_atom_site_fract_x
_atom_site_fract_y
_atom_site_fract_z
Cr1 Cr 0.0000 0.0000 0.0000
Pd1 Pd 0.0153 0.5000 0.5163
N1 N 0.1234 0.5000 0.8329
O1 O 0.3995 0.0000 0.1778
```

#two
## CrPdNO (GGA+U)

Data for a geometry-optimized CrPdNO structure.

Calculated values
Mass density = 5.5 g/cm³
Total moment = 2.412 μB per cell

```
data_CrPdNO
_chemical_formula_sum 'Cr1 Pd1 N1 O1'
_cell_length_a 3.4151
_cell_length_b 3.0654
_cell_length_c 5.5909
_cell_angle_alpha 90.00
_cell_angle_beta 104.30
_cell_angle_gamma 90.00
_symmetry_space_group_name_H-M 'P 1 m 1'
_symmetry_Int_Tables_number 6
_symmetry_space_group_name_Hall 'P -2y'
loop_
_atom_site_label
_atom_site_type_symbol
_atom_site_fract_x
_atom_site_fract_y
_atom_site_fract_z
Cr1 Cr 0.0000 0.0000 0.0000
Pd1 Pd 0.7078 0.5000 0.3970
N1 N 0.5681 0.0000 0.1616
O1 O 0.9293 0.5000 0.7971
```

#three
## CrPdNO (GGA+U)

Data for a geometry-optimized CrPdNO structure.

Calculated values
Mass density = 6.1 g/cm³
Total moment = 2.461 μB per cell

```
data_CrPdNO
_chemical_formula_sum 'Cr2 Pd2 N2 O2'
_cell_length_a 5.6682
_cell_length_b 3.0518
_cell_length_c 5.9234
_cell_angle_alpha 90.00
_cell_angle_beta 96.51
_cell_angle_gamma 90.00
_symmetry_space_group_name_H-M 'C 1 m 1'
_symmetry_Int_Tables_number 8
_symmetry_space_group_name_Hall 'C -2y'
loop_
_atom_site_label
_atom_site_type_symbol
_atom_site_fract_x
_atom_site_fract_y
_atom_site_fract_z
Cr1 Cr 0.0000 0.0000 0.0000
Pd1 Pd 0.4075 0.0000 0.4357
N1 N 0.3346 0.0000 0.0947
O1 O 0.4496 0.5000 0.7037
```

#one (166 meV per atom below the next structure)